(1)
5
Lattice="-4.516 0.465 -5.328 2.621 -5.886 -2.735 -4.439 -3.580 3.450" Properties=species:S:1:pos:R:3 comment="Cs2KRbS, optimized geometry, DFT PBE-GGA" spacegroup="No. 123" magnetic_moment_mub_per_cell=0.0 formation_energy_uncorrected_mev_per_atom=-515 pbc="T T T"
Cs 1.311 -2.943 -1.368
Cs -2.258 0.232 -2.664
K -3.167 -4.501 -2.306
S 0.000 0.000 0.000
Rb -2.220 -1.790 1.725

---

(2)
18
Lattice="11.593 0.000 0.000 0.000 6.665 0.000 -5.797 -3.333 7.383" Properties=species:S:1:pos:R:3 comment="Tb2Ho5Er2, optimized geometry, DFT PBE-GGA" relative_energy_mev_per_atom=210 spacegroup="No. 46" magnetic_moment_mub_per_cell=0.0 pbc="T T T"
Tb -0.051 3.718 1.879
Tb 5.848 0.386 5.504
Tb 5.848 0.386 1.879
Tb -0.051 3.718 5.504
Ho -2.852 1.395 6.614
Ho 8.649 4.727 0.770
Ho -2.944 -1.938 6.614
Ho 8.741 1.395 0.770
Ho 2.758 -0.749 2.112
Ho 3.039 2.583 5.272
Ho 3.039 2.583 2.112
Ho 2.758 -0.749 5.272
Ho 8.646 2.687 3.692
Ho -2.850 -0.646 3.692
Er 0.000 0.085 0.000
Er 5.797 3.418 0.000
Er 0.158 0.740 3.692
Er 5.639 4.072 3.692

---

(3)
6
Lattice="-3.014 -0.307 -0.160 -0.964 -2.995 -4.422 0.487 -5.661 1.457" Properties=species:S:1:pos:R:3 comment="SiAsPRh2C, optimized geometry, DFT PBE-GGA" relative_energy_mev_per_atom=125 spacegroup="No. 1" magnetic_moment_mub_per_cell=0.0 formation_energy_uncorrected_mev_per_atom=-151 pbc="T T T"
C -1.105 -7.240 -3.149
P -1.308 -6.040 -1.768
As -2.501 -8.639 -2.912
Rh -2.943 -4.584 -2.535
Rh -1.767 -1.883 -1.353
Si -0.160 -3.211 -0.304

---

(4)
4
Lattice="-3.680 2.616 -2.039 -3.620 -2.320 -2.461 -4.559 -0.220 1.927" Properties=species:S:1:pos:R:3 comment="LiThScPt, optimized geometry, DFT PBE-GGA" spacegroup="No. 216" magnetic_moment_mub_per_cell=0.0 e_tot_ev_per_cell=-23.7 pbc="T T T"
Sc -5.930 0.038 -1.286
Pt -2.965 0.019 -0.643
Th 0.000 0.000 0.000
Li -8.895 0.057 -1.929